A plane-wave DFT calculation with PBE was carried out for an optimized crystal structure of Hg3Mo.

Calculated values
- excess energy over the best structure of this formula in the dataset (eV per atom) = 0.312
- size of the total moment (μB/cell) = 0.56
- formation energy (kJ/mol of formula units) = 239

Lattice parameters (Å, degrees): 4.214 4.214 18.265 90.00 90.00 90.00
Space group I4/mmm (No. 139)
Symmetry-distinct sites (fractional):
Hg (0.000, 0.000, 0.128)
Hg (0.000, 0.500, 0.000)
Hg (0.000, 0.500, 0.250)
Mo (0.000, 0.000, 0.387)

A plane-wave DFT calculation with PBE was carried out for an optimized crystal structure of HgMo.

Calculated values
- excess energy over the best structure of this formula in the dataset (eV per atom) = 0.269
- size of the total moment (μB/cell) = 0.00
- formation energy (kJ/mol of formula units) = 133

Lattice parameters (Å, degrees): 2.9444 2.9444 9.7318 90.00 90.00 120.00
Space group P6_3/mmc (No. 194)
Symmetry-distinct sites (fractional):
Hg (0.0000, 0.0000, 0.0000)
Mo (0.3333, 0.6667, 0.2500)

A plane-wave DFT calculation with PBE was carried out for an optimized crystal structure of HgMo.

Calculated values
- excess energy over the best structure of this formula in the dataset (eV per atom) = 0.185
- size of the total moment (μB/cell) = 0.00
- formation energy (kJ/mol of formula units) = 116

Lattice parameters (Å, degrees): 4.768 3.252 14.596 90.00 90.00 90.00
Space group Amm2 (No. 38)
Symmetry-distinct sites (fractional):
Hg (0.000, 0.000, 0.000)
Hg (0.000, 0.000, 0.333)
Hg (0.500, 0.000, 0.787)
Mo (0.000, 0.000, 0.664)
Mo (0.500, 0.000, 0.114)
Mo (0.500, 0.000, 0.486)

A plane-wave DFT calculation with PBE was carried out for an optimized crystal structure of HgMo.

Calculated values
- excess energy over the best structure of this formula in the dataset (eV per atom) = 0.185
- size of the total moment (μB/cell) = 0.00
- formation energy (kJ/mol of formula units) = 117

Lattice parameters (Å, degrees): 9.773 2.802 5.342 90.00 94.98 90.00
Space group C2/m (No. 12)
Symmetry-distinct sites (fractional):
Hg (0.123, 0.000, 0.379)
Mo (0.122, 0.500, 0.899)

A plane-wave DFT calculation with PBE was carried out for an optimized crystal structure of HgMo.

Calculated values
- excess energy over the best structure of this formula in the dataset (eV per atom) = 0.667
- size of the total moment (μB/cell) = 0.00
- formation energy (kJ/mol of formula units) = 209

Lattice parameters (Å, degrees): 4.5394 4.5394 4.8504 90.00 90.00 120.00
Space group P6_3/mmc (No. 194)
Symmetry-distinct sites (fractional):
Hg (0.3333, 0.6667, 0.2500)
Mo (0.0000, 0.0000, 0.0000)

A plane-wave DFT calculation with PBE was carried out for an optimized crystal structure of HgMo5.

Calculated values
- excess energy over the best structure of this formula in the dataset (eV per atom) = 0.094
- size of the total moment (μB/cell) = 0.00
- formation energy (kJ/mol of formula units) = 278

Lattice parameters (Å, degrees): 5.0122 5.0122 4.5631 90.00 90.00 120.00
Space group P-62m (No. 189)
Symmetry-distinct sites (fractional):
Hg (0.0000, 0.0000, 0.0000)
Mo (0.0000, 0.3448, 0.5000)
Mo (0.3333, 0.6667, 0.0000)

A plane-wave DFT calculation with PBE was carried out for an optimized crystal structure of HgMo.

Calculated values
- excess energy over the best structure of this formula in the dataset (eV per atom) = 0.000
- size of the total moment (μB/cell) = 0.00
- formation energy (kJ/mol of formula units) = 81

Lattice parameters (Å, degrees): 3.1137 3.1137 13.9889 90.00 90.00 120.00
Space group P-6m2 (No. 187)
Symmetry-distinct sites (fractional):
Hg (0.0000, 0.0000, 0.0000)
Hg (0.3333, 0.6667, 0.1930)
Mo (0.0000, 0.0000, 0.3641)
Mo (0.3333, 0.6667, 0.5000)

A plane-wave DFT calculation with PBE was carried out for an optimized crystal structure of HgMo.

Calculated values
- excess energy over the best structure of this formula in the dataset (eV per atom) = 0.251
- size of the total moment (μB/cell) = 0.00
- formation energy (kJ/mol of formula units) = 129

Lattice parameters (Å, degrees): 4.761 2.867 16.038 90.00 90.00 90.00
Space group Amm2 (No. 38)
Symmetry-distinct sites (fractional):
Hg (0.000, 0.000, 0.000)
Hg (0.000, 0.000, 0.328)
Hg (0.500, 0.000, 0.105)
Mo (0.000, 0.000, 0.672)
Mo (0.500, 0.000, 0.428)
Mo (0.500, 0.000, 0.766)